# 1
The following is a DFT calculation (PBE-GGA) of a geometry-optimized Y2AsOs structure.

Structure (POSCAR):
```
Y2AsOs
1.0
4.068 0.000 0.000
0.000 4.068 0.000
0.000 0.000 5.829
Y As Os
2 1 1
Cartesian
0.000 0.000 0.000
2.034 2.034 2.413
0.000 0.000 2.903
2.034 2.034 5.456
```

Values from the calculation:
The value obtained for the polymorph energy (0 for the lowest one) is 378 meV per atom. Its crystal system is tetragonal. As for the formation energy: -0.30 eV/atom.

---

# 2
The following is a DFT calculation (PBE-GGA) of a geometry-optimized GeTeF3 structure.

Structure (POSCAR):
```
GeTeF3
1.0
4.607 0.000 0.000
0.000 4.607 0.000
0.000 0.000 4.607
Ge Te F
1 1 3
Cartesian
0.000 0.000 0.000
2.303 2.303 2.303
0.000 2.303 2.303
2.303 0.000 2.303
2.303 2.303 0.000
```

Values from the calculation:
The value obtained for the polymorph energy (0 for the lowest one) is 968 meV per atom. Its crystal system is cubic. The uncorrected formation energy comes out at -3.797 eV/f.u.

---

# 3
The following is a DFT calculation (PBE-GGA) of a geometry-optimized Y2TlCo structure.

Structure (POSCAR):
```
Y2TlCo
1.0
3.884 0.000 0.000
0.000 3.884 0.000
0.000 0.000 6.908
Y Tl Co
2 1 1
Cartesian
0.000 0.000 0.000
1.942 1.942 2.223
1.942 1.942 5.246
0.000 0.000 2.679
```

Values from the calculation:
Its crystal system is tetragonal. As for the formation energy: 0.07 eV/atom.

---

# 4
The following is a DFT calculation (PBE-GGA) of a geometry-optimized Nd4Sm2ErTm2 structure.

Structure (POSCAR):
```
Nd4Sm2ErTm2
1.0
7.674 -2.556 0.000
7.674 2.556 0.000
-2.561 0.000 7.617
Nd Sm Er Tm
4 2 1 2
Cartesian
-0.008 0.000 2.513
2.550 0.000 5.104
10.238 0.000 2.514
12.796 0.000 5.104
5.117 0.000 2.511
7.671 0.000 5.106
7.674 0.000 0.000
0.003 0.000 7.616
12.785 0.000 0.001
```

Values from the calculation:
Its crystal system is monoclinic. As for the formation energy: 0.02 eV/atom.

---

# 5
The following is a DFT calculation (PBE-GGA) of a geometry-optimized K2PaSO8 structure.

Structure (POSCAR):
```
K2PaSO8
1.0
6.063 0.000 0.000
-3.031 5.251 0.000
0.000 0.000 5.682
K Pa S O
2 1 1 8
Cartesian
0.000 3.500 2.381
3.031 1.750 3.300
0.000 0.000 0.000
0.000 0.000 2.841
0.000 1.348 3.867
-1.864 4.576 3.867
1.167 0.674 1.815
0.000 3.500 5.611
3.031 1.750 0.070
1.864 4.576 3.867
4.895 0.674 1.815
3.031 3.902 1.815
```

Values from the calculation:
Its crystal system is trigonal. The uncorrected formation energy comes out at -14.662 eV/f.u.

---

# 6
The following is a DFT calculation (PBE-GGA) of a geometry-optimized FePAu2 structure.

Structure (POSCAR):
```
FePAu2
1.0
2.803 0.000 0.000
0.000 2.803 0.000
0.000 0.000 8.295
Fe P Au
1 1 2
Cartesian
0.000 0.000 0.000
0.000 0.000 4.148
1.401 1.401 1.932
1.401 1.401 6.363
```

Values from the calculation:
Its crystal system is tetragonal. As for the formation energy: 0.32 eV/atom.

---

# 7
The following is a DFT calculation (PBE-GGA) of a geometry-optimized SiMoS2Cl structure.

Structure (POSCAR):
```
SiMoS2Cl
1.0
4.643 0.000 0.000
0.000 4.643 0.000
0.000 0.000 4.491
Si Mo S Cl
1 1 2 1
Cartesian
0.000 0.000 0.000
2.322 2.322 2.245
0.000 2.322 0.000
2.322 0.000 0.000
0.000 0.000 2.245
```

Values from the calculation:
The value obtained for the polymorph energy (0 for the lowest one) is 208 meV per atom. Its crystal system is tetragonal. The uncorrected formation energy comes out at 2.662 eV/f.u.

---

# 8
The following is a DFT calculation (PBE-GGA) of a geometry-optimized AsPd structure.

Structure (POSCAR):
```
AsPd
1.0
4.420 0.000 0.000
0.000 4.415 0.000
-2.169 0.000 3.854
As Pd
2 2
Cartesian
0.000 0.000 0.000
2.210 2.207 0.000
-0.003 2.207 1.301
2.207 0.000 1.301
```

Values from the calculation:
Its crystal system is monoclinic. As for the formation energy: -0.21 eV/atom.

---

# 9
The following is a DFT calculation (PBE-GGA) of a geometry-optimized Na2Tl7Pb structure.

Structure (POSCAR):
```
Na2Tl7Pb
1.0
5.426 0.000 0.000
-2.713 4.699 0.000
0.000 0.000 12.635
Na Tl Pb
2 7 1
Cartesian
0.000 0.000 0.000
0.000 3.133 7.334
0.000 0.000 3.104
0.000 0.000 6.313
0.000 0.000 9.583
0.000 3.133 3.727
0.000 3.133 10.907
2.713 1.566 1.582
2.713 1.566 8.630
2.713 1.566 4.990
```

Values from the calculation:
The value obtained for the polymorph energy (0 for the lowest one) is 0 meV per atom. Its crystal system is trigonal. As for the formation energy: 0.00 eV/atom.

---

# 10
The following is a DFT calculation (PBE-GGA) of a geometry-optimized YScSe3 structure.

Structure (POSCAR):
```
YScSe3
1.0
3.960 0.000 0.000
0.000 5.566 0.000
0.000 0.000 12.386
Y Sc Se
2 2 6
Cartesian
0.000 0.000 0.000
1.980 2.783 6.193
0.000 0.000 8.425
1.980 2.783 2.232
0.000 2.783 0.381
0.000 2.783 4.121
0.000 2.783 8.229
1.980 0.000 2.036
1.980 0.000 6.574
1.980 0.000 10.314
```

Values from the calculation:
Its crystal system is orthorhombic. The uncorrected formation energy comes out at -8.848 eV/f.u.

---

# 11
The following is a DFT calculation (PBE-GGA) of a geometry-optimized Pr2Ga5Ni3 structure.

Structure (POSCAR):
```
Pr2Ga5Ni3
1.0
-5.043 6.204 2.842
5.043 -6.204 2.842
5.043 6.204 -2.842
Pr Ga Ni
4 10 6
Cartesian
2.271 1.707 0.000
2.271 -1.707 2.842
2.772 7.910 0.000
2.772 4.497 2.842
5.043 -2.674 1.421
6.690 1.164 0.000
0.000 0.000 1.421
1.647 5.040 0.000
5.043 2.674 1.421
0.000 3.529 1.421
3.396 1.164 2.842
0.000 0.000 4.262
-1.647 5.040 2.842
0.000 8.878 1.421
4.049 -4.455 2.842
5.043 0.000 1.421
4.049 4.455 0.000
0.994 1.748 2.842
0.000 6.204 1.421
0.994 10.659 0.000
```

Values from the calculation:
Its crystal system is orthorhombic. As for the formation energy: -0.59 eV/atom.

---

# 12
The following is a DFT calculation (PBE-GGA) of a geometry-optimized TaRe2Ag structure.

Structure (POSCAR):
```
TaRe2Ag
1.0
5.663 0.000 0.000
0.000 8.130 0.000
0.000 0.000 2.814
Ta Re Ag
2 4 2
Cartesian
0.000 0.000 0.000
2.831 4.065 0.000
1.416 2.033 1.407
1.416 6.098 1.407
4.247 2.033 1.407
4.247 6.098 1.407
0.000 4.065 0.000
2.831 0.000 0.000
```

Values from the calculation:
The value obtained for the polymorph energy (0 for the lowest one) is 210 meV per atom. Its crystal system is orthorhombic. As for the formation energy: 0.44 eV/atom.

---

Listing magnetization for the structures above in their given order: 0.19, 0.00, 0.00, 0.00, 0.25, 0.76, 0.77, 0.00, 0.00, 0.00, 0.00, 0.00 μB per atom.
Listing calculated total energy for the structures above in their given order: -7.505, -3.434, -5.531, -4.645, -5.846, -4.787, -4.739, -5.134, -2.293, -6.419, -4.796, -9.456 eV/atom.